VASP calculation (PBE) on a relaxed structure of Pm6Sm16Dy7.

Cell lengths 15.960, 15.960, 15.960 Å; angles 90.00, 90.00, 90.00 degrees
Space group Fm-3m (No. 225)
Symmetry-distinct sites (fractional):
Pm (0.000, 0.000, 0.229) x24
Sm (0.126, 0.126, 0.374) x32
Sm (0.151, 0.151, 0.151) x32
Dy (0.000, 0.000, 0.500) x4
Dy (0.000, 0.250, 0.250) x24

Values from the calculation:
Electronic total energy, eV/atom: -4.4813
Energy relative to the elements, eV/atom: 0.216
Theoretical density, Mg/m³: 7.2